# K3Ga2As3 PBE relaxed
data_K3Ga2As3
_chemical_formula_sum 'K12 Ga8 As12'
_symmetry_space_group_name_H-M 'C m c m'
_symmetry_Int_Tables_number 63
_symmetry_space_group_name_Hall '-C 2c 2'
_cell_length_a 4.3206
_cell_length_b 14.2071
_cell_length_c 14.7745
_cell_angle_alpha 90.00
_cell_angle_beta 90.00
_cell_angle_gamma 90.00
loop_
_atom_site_label
_atom_site_type_symbol
_atom_site_fract_x
_atom_site_fract_y
_atom_site_fract_z
_atom_site_occupancy
K1 K 0.0000 0.0626 0.1111 1
K2 K 0.0000 0.3482 0.2500 1
Ga1 Ga 0.0000 0.2420 0.5933 1
As1 As 0.0000 0.3252 0.7500 1
As2 As 0.0000 0.3520 0.0445 1
# DOS at the Fermi energy: 0.14 states/eV per atom

***

# KGa2As2 PBE relaxed
data_KGa2As2
_chemical_formula_sum 'K2 Ga4 As4'
_symmetry_space_group_name_H-M 'P 4/m b m'
_symmetry_Int_Tables_number 127
_symmetry_space_group_name_Hall '-P 4 2ab'
_cell_length_a 7.9909
_cell_length_b 7.9909
_cell_length_c 3.6075
_cell_angle_alpha 90.00
_cell_angle_beta 90.00
_cell_angle_gamma 90.00
loop_
_atom_site_label
_atom_site_type_symbol
_atom_site_fract_x
_atom_site_fract_y
_atom_site_fract_z
_atom_site_occupancy
K1 K 0.0000 0.0000 0.0000 1
Ga1 Ga 0.1255 0.3745 0.0000 1
As1 As 0.1417 0.6417 0.5000 1
# energy above the lowest structure with this stoichiometry: 0.305 eV per atom
# DOS at the Fermi energy: 0.29 states/eV per atom

***

# KGa3As PBE relaxed
data_KGa3As
_chemical_formula_sum 'K1 Ga3 As1'
_symmetry_space_group_name_H-M 'P m -3 m'
_symmetry_Int_Tables_number 221
_symmetry_space_group_name_Hall '-P 4 2 3'
_cell_length_a 5.5955
_cell_length_b 5.5955
_cell_length_c 5.5955
_cell_angle_alpha 90.00
_cell_angle_beta 90.00
_cell_angle_gamma 90.00
loop_
_atom_site_label
_atom_site_type_symbol
_atom_site_fract_x
_atom_site_fract_y
_atom_site_fract_z
_atom_site_occupancy
K1 K 0.0000 0.0000 0.0000 1
Ga1 Ga 0.0000 0.0000 0.5000 1
As1 As 0.5000 0.5000 0.5000 1
# energy above the lowest structure with this stoichiometry: 0.935 eV per atom
# DOS at the Fermi energy: 0.65 states/eV per atom

***

# K3GaAs PBE relaxed
data_K3GaAs
_chemical_formula_sum 'K3 Ga1 As1'
_symmetry_space_group_name_H-M 'P m -3 m'
_symmetry_Int_Tables_number 221
_symmetry_space_group_name_Hall '-P 4 2 3'
_cell_length_a 6.3917
_cell_length_b 6.3917
_cell_length_c 6.3917
_cell_angle_alpha 90.00
_cell_angle_beta 90.00
_cell_angle_gamma 90.00
loop_
_atom_site_label
_atom_site_type_symbol
_atom_site_fract_x
_atom_site_fract_y
_atom_site_fract_z
_atom_site_occupancy
K1 K 0.0000 0.0000 0.5000 1
Ga1 Ga 0.5000 0.5000 0.5000 1
As1 As 0.0000 0.0000 0.0000 1
# energy above the lowest structure with this stoichiometry: 0.343 eV per atom
# DOS at the Fermi energy: 1.19 states/eV per atom

***

# KGa3As PBE relaxed
data_KGa3As
_chemical_formula_sum 'K1 Ga3 As1'
_symmetry_space_group_name_H-M 'P m -3 m'
_symmetry_Int_Tables_number 221
_symmetry_space_group_name_Hall '-P 4 2 3'
_cell_length_a 5.2006
_cell_length_b 5.2006
_cell_length_c 5.2006
_cell_angle_alpha 90.00
_cell_angle_beta 90.00
_cell_angle_gamma 90.00
loop_
_atom_site_label
_atom_site_type_symbol
_atom_site_fract_x
_atom_site_fract_y
_atom_site_fract_z
_atom_site_occupancy
K1 K 0.0000 0.0000 0.0000 1
Ga1 Ga 0.0000 0.5000 0.5000 1
As1 As 0.5000 0.5000 0.5000 1
# energy above the lowest structure with this stoichiometry: 0.000 eV per atom
# DOS at the Fermi energy: 0.59 states/eV per atom

***

# KGaAs PBE relaxed
data_KGaAs
_chemical_formula_sum 'K1 Ga1 As1'
_symmetry_space_group_name_H-M 'P 3 m 1'
_symmetry_Int_Tables_number 156
_symmetry_space_group_name_Hall 'P 3 -2"'
_cell_length_a 4.1808
_cell_length_b 4.1808
_cell_length_c 5.6928
_cell_angle_alpha 90.00
_cell_angle_beta 90.00
_cell_angle_gamma 120.00
loop_
_atom_site_label
_atom_site_type_symbol
_atom_site_fract_x
_atom_site_fract_y
_atom_site_fract_z
_atom_site_occupancy
K1 K 0.0000 0.0000 0.0000 1
Ga1 Ga 0.6667 0.3333 0.4319 1
As1 As 0.3333 0.6667 0.5748 1
# energy above the lowest structure with this stoichiometry: 0.000 eV per atom
# DOS at the Fermi energy: 0.58 states/eV per atom

***

# K3GaAs PBE relaxed
data_K3GaAs
_chemical_formula_sum 'K12 Ga4 As4'
_symmetry_space_group_name_H-M 'I m a 2'
_symmetry_Int_Tables_number 46
_symmetry_space_group_name_Hall 'I 2 -2a'
_cell_length_a 10.7110
_cell_length_b 8.9311
_cell_length_c 9.1484
_cell_angle_alpha 90.00
_cell_angle_beta 90.00
_cell_angle_gamma 90.00
loop_
_atom_site_label
_atom_site_type_symbol
_atom_site_fract_x
_atom_site_fract_y
_atom_site_fract_z
_atom_site_occupancy
K1 K 0.0430 0.2159 0.0000 1
K2 K 0.2500 0.5871 0.8049 1
Ga1 Ga 0.2500 0.0173 0.6986 1
As1 As 0.2500 0.5666 0.4436 1
# energy above the lowest structure with this stoichiometry: 0.000 eV per atom
# DOS at the Fermi energy: 0.41 states/eV per atom

***

# K2Ga2As3 PBE relaxed
data_K2Ga2As3
_chemical_formula_sum 'K16 Ga16 As24'
_symmetry_space_group_name_H-M 'C 1 2/c 1'
_symmetry_Int_Tables_number 15
_symmetry_space_group_name_Hall '-C 2yc'
_cell_length_a 16.9273
_cell_length_b 14.6588
_cell_length_c 6.8271
_cell_angle_alpha 90.00
_cell_angle_beta 112.38
_cell_angle_gamma 90.00
loop_
_atom_site_label
_atom_site_type_symbol
_atom_site_fract_x
_atom_site_fract_y
_atom_site_fract_z
_atom_site_occupancy
K1 K 0.0000 0.0714 0.2500 1
K2 K 0.0000 0.2086 0.7500 1
K3 K 0.1020 0.4154 0.0996 1
Ga1 Ga 0.2048 0.2165 0.6576 1
Ga2 Ga 0.2351 0.0753 0.2034 1
As1 As 0.1193 0.3624 0.6192 1
As2 As 0.1505 0.2127 0.2565 1
As3 As 0.1710 0.0695 0.8004 1
# energy above the lowest structure with this stoichiometry: 0.113 eV per atom
# DOS at the Fermi energy: 0.32 states/eV per atom

***

# KGaAs PBE relaxed
data_KGaAs
_chemical_formula_sum 'K4 Ga4 As4'
_symmetry_space_group_name_H-M 'C m c m'
_symmetry_Int_Tables_number 63
_symmetry_space_group_name_Hall '-C 2c 2'
_cell_length_a 4.0592
_cell_length_b 17.4290
_cell_length_c 5.0000
_cell_angle_alpha 90.00
_cell_angle_beta 90.00
_cell_angle_gamma 90.00
loop_
_atom_site_label
_atom_site_type_symbol
_atom_site_fract_x
_atom_site_fract_y
_atom_site_fract_z
_atom_site_occupancy
K1 K 0.0000 0.1759 0.2500 1
Ga1 Ga 0.0000 0.0389 0.7500 1
As1 As 0.0000 0.3804 0.2500 1
# energy above the lowest structure with this stoichiometry: 0.026 eV per atom
# DOS at the Fermi energy: 0.57 states/eV per atom

***

# K2GaAs2 PBE relaxed
data_K2GaAs2
_chemical_formula_sum 'K4 Ga2 As4'
_symmetry_space_group_name_H-M 'P 4/m b m'
_symmetry_Int_Tables_number 127
_symmetry_space_group_name_Hall '-P 4 2ab'
_cell_length_a 7.2791
_cell_length_b 7.2791
_cell_length_c 5.3742
_cell_angle_alpha 90.00
_cell_angle_beta 90.00
_cell_angle_gamma 90.00
loop_
_atom_site_label
_atom_site_type_symbol
_atom_site_fract_x
_atom_site_fract_y
_atom_site_fract_z
_atom_site_occupancy
K1 K 0.1752 0.3248 0.0000 1
Ga1 Ga 0.0000 0.0000 0.5000 1
As1 As 0.1213 0.6213 0.5000 1
# energy above the lowest structure with this stoichiometry: 0.232 eV per atom
# DOS at the Fermi energy: 0.58 states/eV per atom

***

# KGaAs3 PBE relaxed
data_KGaAs3
_chemical_formula_sum 'K1 Ga1 As3'
_symmetry_space_group_name_H-M 'P m -3 m'
_symmetry_Int_Tables_number 221
_symmetry_space_group_name_Hall '-P 4 2 3'
_cell_length_a 5.5242
_cell_length_b 5.5242
_cell_length_c 5.5242
_cell_angle_alpha 90.00
_cell_angle_beta 90.00
_cell_angle_gamma 90.00
loop_
_atom_site_label
_atom_site_type_symbol
_atom_site_fract_x
_atom_site_fract_y
_atom_site_fract_z
_atom_site_occupancy
K1 K 0.0000 0.0000 0.0000 1
Ga1 Ga 0.5000 0.5000 0.5000 1
As1 As 0.0000 0.0000 0.5000 1
# energy above the lowest structure with this stoichiometry: 1.138 eV per atom
# DOS at the Fermi energy: 1.02 states/eV per atom

***

# K3Ga2As2 PBE relaxed
data_K3Ga2As2
_chemical_formula_sum 'K6 Ga4 As4'
_symmetry_space_group_name_H-M 'I m m m'
_symmetry_Int_Tables_number 71
_symmetry_space_group_name_Hall '-I 2 2'
_cell_length_a 4.0996
_cell_length_b 5.3710
_cell_length_c 19.4780
_cell_angle_alpha 90.00
_cell_angle_beta 90.00
_cell_angle_gamma 90.00
loop_
_atom_site_label
_atom_site_type_symbol
_atom_site_fract_x
_atom_site_fract_y
_atom_site_fract_z
_atom_site_occupancy
K1 K 0.0000 0.0000 0.0000 1
K2 K 0.0000 0.5000 0.3144 1
Ga1 Ga 0.0000 0.0000 0.4373 1
As1 As 0.0000 0.5000 0.1348 1
# DOS at the Fermi energy: 0.35 states/eV per atom

***

We obtain formation energy from the elements values of -0.42; -0.05; 1.17; 0.15; 0.23; -0.30; -0.20; -0.36; -0.27; -0.27; 1.42; -0.43 eV/atom for the records listed above, in that order.
We obtain volume values of 906.91; 230.36; 175.20; 261.12; 140.66; 86.17; 875.15; 1566.41; 353.74; 284.76; 168.58; 428.89 Å³/cell for the records listed above, in that order.